VASP calculation (PBE) on an optimized crystal structure of PmNi5Sn2.

- Calculated formation energy: -2.0 eV/f.u.

Cell lengths 6.544, 6.544, 6.544 Å; angles 146.10, 120.35, 70.41 degrees
Positions (direct):
Pm 0.000 0.000 0.000
Ni 0.199 0.386 0.813
Ni 0.427 0.614 0.813
Ni 0.500 0.000 0.500
Ni 0.573 0.386 0.187
Ni 0.801 0.614 0.187
Sn 0.259 0.759 0.500
Sn 0.741 0.241 0.500